(1)
Density functional theory data (PBE-GGA) for a relaxed structure of TaVCr2.

The structure in CIF format:
```
data_TaVCr2
_chemical_formula_sum 'Ta2 V2 Cr4'
_space_group_name_H-M_alt 'P 1'
_space_group_IT_number 1
_cell_length_a 6.674
_cell_length_b 6.674
_cell_length_c 5.392
_cell_angle_alpha 51.77
_cell_angle_beta 51.77
_cell_angle_gamma 90.00
loop_
_space_group_symop_operation_xyz
'x,y,z'
loop_
_atom_site_label
_atom_site_fract_x
_atom_site_fract_y
_atom_site_fract_z
Cr1 0.375 0.397 0.750
Cr2 0.875 0.853 0.750
Cr3 0.147 0.625 0.250
Cr4 0.603 0.125 0.250
Ta1 0.000 0.000 0.000
Ta2 0.750 0.250 0.500
V1 0.500 0.500 0.000
V2 0.250 0.750 0.500
```

Values from the calculation:
Relative energy among the computed polymorphs ... 670.1 meV/atom
Space group ... I-42d, No. 122
Electronic total energy ... -9.413 eV per atom
E_form ... 0.642 eV per atom
Density ... 9.603 g/cm³
Volume ... 116.2 Å³ per cell

(2)
Density functional theory data (PBE-GGA) for a relaxed structure of BaCuBiTe3.

The structure in CIF format:
```
data_BaCuBiTe3
_chemical_formula_sum 'Ba2 Cu2 Bi2 Te6'
_space_group_name_H-M_alt 'P 1'
_space_group_IT_number 1
_cell_length_a 4.486
_cell_length_b 9.686
_cell_length_c 9.815
_cell_angle_alpha 103.13
_cell_angle_beta 90.00
_cell_angle_gamma 90.00
loop_
_space_group_symop_operation_xyz
'x,y,z'
loop_
_atom_site_label
_atom_site_fract_x
_atom_site_fract_y
_atom_site_fract_z
Cu1 0.250 0.066 0.570
Cu2 0.750 0.934 0.430
Bi1 0.250 0.662 0.152
Bi2 0.750 0.338 0.848
Ba1 0.750 0.828 0.754
Ba2 0.250 0.172 0.246
Te1 0.750 0.885 0.136
Te2 0.250 0.788 0.477
Te3 0.250 0.561 0.824
Te4 0.750 0.212 0.523
Te5 0.750 0.439 0.176
Te6 0.250 0.115 0.864
```

Values from the calculation:
Space group ... P2_1/m, No. 11
Electronic total energy ... -3.910 eV per atom
Formation energy without anion corrections ... -0.6888 eV/atom
Density ... 6.337 g/cm³
Volume ... 415.4 Å³ per cell

(3)
Density functional theory data (PBE-GGA) for a relaxed structure of Sr2AgSn4Rh3.

The structure in CIF format:
```
data_Sr2AgSn4Rh3
_chemical_formula_sum 'Sr2 Ag1 Sn4 Rh3'
_space_group_name_H-M_alt 'P 1'
_space_group_IT_number 1
_cell_length_a 4.710
_cell_length_b 4.710
_cell_length_c 10.585
_cell_angle_alpha 90.00
_cell_angle_beta 90.00
_cell_angle_gamma 90.00
loop_
_space_group_symop_operation_xyz
'x,y,z'
loop_
_atom_site_label
_atom_site_fract_x
_atom_site_fract_y
_atom_site_fract_z
Rh1 0.500 0.000 0.878
Rh2 0.000 0.500 0.122
Rh3 0.000 0.000 0.500
Sn1 0.500 0.000 0.630
Sn2 0.000 0.000 0.000
Sn3 0.000 0.500 0.370
Sn4 0.500 0.500 0.000
Sr1 0.500 0.000 0.253
Sr2 0.000 0.500 0.747
Ag1 0.500 0.500 0.500
```

Values from the calculation:
Space group ... P-4m2, No. 115
Electronic total energy ... -4.967 eV per atom
E_form ... -0.539 eV per atom
Density ... 7.543 g/cm³
Volume ... 234.8 Å³ per cell

(4)
Density functional theory data (PBE-GGA) for a relaxed structure of Sc2HgSe.

The structure in CIF format:
```
data_Sc2HgSe
_chemical_formula_sum 'Sc4 Hg2 Se2'
_space_group_name_H-M_alt 'P 1'
_space_group_IT_number 1
_cell_length_a 7.437
_cell_length_b 7.437
_cell_length_c 6.246
_cell_angle_alpha 53.47
_cell_angle_beta 53.47
_cell_angle_gamma 90.00
loop_
_space_group_symop_operation_xyz
'x,y,z'
loop_
_atom_site_label
_atom_site_fract_x
_atom_site_fract_y
_atom_site_fract_z
Sc1 0.147 0.625 0.250
Sc2 0.375 0.397 0.750
Sc3 0.875 0.853 0.750
Sc4 0.603 0.125 0.250
Hg1 0.750 0.250 0.500
Hg2 0.000 0.000 0.000
Se1 0.500 0.500 0.000
Se2 0.250 0.750 0.500
```

Values from the calculation:
Relative energy among the computed polymorphs ... 314.5 meV/atom
Space group ... I-42d, No. 122
Electronic total energy ... -4.773 eV per atom
Formation energy without anion corrections ... -0.6607 eV/atom
Density ... 6.582 g/cm³
Volume ... 186.4 Å³ per cell

(5)
Density functional theory data (PBE-GGA) for a relaxed structure of Nd3Te2Br.

The structure in CIF format:
```
data_Nd3Te2Br
_chemical_formula_sum 'Nd6 Te4 Br2'
_space_group_name_H-M_alt 'P 1'
_space_group_IT_number 1
_cell_length_a 4.278
_cell_length_b 4.278
_cell_length_c 23.651
_cell_angle_alpha 90.00
_cell_angle_beta 90.00
_cell_angle_gamma 120.00
loop_
_space_group_symop_operation_xyz
'x,y,z'
loop_
_atom_site_label
_atom_site_fract_x
_atom_site_fract_y
_atom_site_fract_z
Te1 0.333 0.667 0.583
Te2 0.667 0.333 0.417
Te3 0.333 0.667 0.917
Te4 0.667 0.333 0.083
Nd1 0.000 0.000 0.000
Nd2 0.000 0.000 0.500
Nd3 0.667 0.333 0.662
Nd4 0.333 0.667 0.162
Nd5 0.333 0.667 0.338
Nd6 0.667 0.333 0.838
Br1 0.000 0.000 0.750
Br2 0.000 0.000 0.250
```

Values from the calculation:
Space group ... P6_3/mmc, No. 194
Electronic total energy ... -4.974 eV per atom
Formation energy without anion corrections ... -1.2638 eV/atom
Density ... 6.801 g/cm³
Volume ... 374.9 Å³ per cell

(6)
Density functional theory data (PBE-GGA) for a relaxed structure of PmPr2ZrP4.

The structure in CIF format:
```
data_PmPr2ZrP4
_chemical_formula_sum 'Pm1 Pr2 Zr1 P4'
_space_group_name_H-M_alt 'P 1'
_space_group_IT_number 1
_cell_length_a 4.053
_cell_length_b 7.027
_cell_length_c 7.039
_cell_angle_alpha 109.20
_cell_angle_beta 90.00
_cell_angle_gamma 90.00
loop_
_space_group_symop_operation_xyz
'x,y,z'
loop_
_atom_site_label
_atom_site_fract_x
_atom_site_fract_y
_atom_site_fract_z
P1 0.000 0.758 0.236
P2 0.500 0.768 0.771
P3 0.000 0.242 0.764
P4 0.500 0.232 0.229
Pm1 0.500 0.500 0.000
Pr1 0.500 0.000 0.500
Pr2 0.000 0.500 0.500
Zr1 0.000 0.000 0.000
```

Values from the calculation:
Space group ... P2/m, No. 10
Electronic total energy ... -7.029 eV per atom
E_form ... -1.467 eV per atom
Density ... 5.631 g/cm³
Volume ... 189.3 Å³ per cell

(7)
Density functional theory data (PBE-GGA) for a relaxed structure of Sr2ScSb.

The structure in CIF format:
```
data_Sr2ScSb
_chemical_formula_sum 'Sr2 Sc1 Sb1'
_space_group_name_H-M_alt 'P 1'
_space_group_IT_number 1
_cell_length_a 4.399
_cell_length_b 4.399
_cell_length_c 6.861
_cell_angle_alpha 90.00
_cell_angle_beta 90.00
_cell_angle_gamma 90.01
loop_
_space_group_symop_operation_xyz
'x,y,z'
loop_
_atom_site_label
_atom_site_fract_x
_atom_site_fract_y
_atom_site_fract_z
Sc1 0.500 0.500 0.750
Sr1 0.000 0.000 0.484
Sr2 0.000 0.000 0.016
Sb1 0.500 0.500 0.250
```

Values from the calculation:
Space group ... P4/mmm, No. 123
Electronic total energy ... -3.763 eV per atom
Formation energy without anion corrections ... -0.3086 eV/atom
Density ... 4.276 g/cm³
Volume ... 132.8 Å³ per cell

(8)
Density functional theory data (PBE-GGA) for a relaxed structure of HgRuSeCl2.

The structure in CIF format:
```
data_HgRuSeCl2
_chemical_formula_sum 'Hg1 Ru1 Se1 Cl2'
_space_group_name_H-M_alt 'P 1'
_space_group_IT_number 1
_cell_length_a 4.970
_cell_length_b 5.868
_cell_length_c 4.970
_cell_angle_alpha 90.00
_cell_angle_beta 90.00
_cell_angle_gamma 90.00
loop_
_space_group_symop_operation_xyz
'x,y,z'
loop_
_atom_site_label
_atom_site_fract_x
_atom_site_fract_y
_atom_site_fract_z
Se1 0.500 0.500 0.500
Ru1 0.000 0.500 0.000
Cl1 0.000 0.000 0.500
Cl2 0.500 0.000 0.000
Hg1 0.000 0.000 0.000
```

Values from the calculation:
Space group ... P4/mmm, No. 123
Electronic total energy ... -2.344 eV per atom
Formation energy without anion corrections ... 1.0073 eV/atom
Density ... 5.173 g/cm³
Volume ... 144.9 Å³ per cell

(9)
Density functional theory data (PBE-GGA) for a relaxed structure of InSbH2.

The structure in CIF format:
```
data_InSbH2
_chemical_formula_sum 'In2 Sb2 H4'
_space_group_name_H-M_alt 'P 1'
_space_group_IT_number 1
_cell_length_a 4.241
_cell_length_b 5.002
_cell_length_c 9.927
_cell_angle_alpha 56.43
_cell_angle_beta 90.00
_cell_angle_gamma 90.00
loop_
_space_group_symop_operation_xyz
'x,y,z'
loop_
_atom_site_label
_atom_site_fract_x
_atom_site_fract_y
_atom_site_fract_z
H1 0.250 0.215 0.792
H2 0.750 0.868 0.818
H3 0.250 0.132 0.182
H4 0.750 0.785 0.208
Sb1 0.750 0.238 0.799
Sb2 0.250 0.762 0.201
In1 0.250 0.744 0.523
In2 0.750 0.256 0.477
```

Values from the calculation:
Relative energy among the computed polymorphs ... 0.0 meV/atom
Space group ... P2_1/m, No. 11
Electronic total energy ... -3.034 eV per atom
Density ... 4.515 g/cm³
Volume ... 175.5 Å³ per cell

(10)
Density functional theory data (PBE-GGA) for a relaxed structure of FeTeSe2.

The structure in CIF format:
```
data_FeTeSe2
_chemical_formula_sum 'Fe1 Te1 Se2'
_space_group_name_H-M_alt 'P 1'
_space_group_IT_number 1
_cell_length_a 4.869
_cell_length_b 4.869
_cell_length_c 4.870
_cell_angle_alpha 71.57
_cell_angle_beta 71.57
_cell_angle_gamma 111.67
loop_
_space_group_symop_operation_xyz
'x,y,z'
loop_
_atom_site_label
_atom_site_fract_x
_atom_site_fract_y
_atom_site_fract_z
Se1 0.000 0.000 0.000
Se2 0.500 0.500 0.000
Te1 0.500 0.000 0.500
Fe1 0.000 0.500 0.500
```

Values from the calculation:
Space group ... I4/mmm, No. 139
Electronic total energy ... -4.389 eV per atom
Formation energy without anion corrections ... 0.2541 eV/atom
Density ... 6.394 g/cm³
Volume ... 88.7 Å³ per cell

(11)
Density functional theory data (PBE-GGA) for a relaxed structure of SrIn3Te.

The structure in CIF format:
```
data_SrIn3Te
_chemical_formula_sum 'Sr1 In3 Te1'
_space_group_name_H-M_alt 'P 1'
_space_group_IT_number 1
_cell_length_a 6.164
_cell_length_b 6.164
_cell_length_c 6.164
_cell_angle_alpha 90.00
_cell_angle_beta 90.00
_cell_angle_gamma 90.00
loop_
_space_group_symop_operation_xyz
'x,y,z'
loop_
_atom_site_label
_atom_site_fract_x
_atom_site_fract_y
_atom_site_fract_z
In1 0.000 0.500 0.000
In2 0.500 0.000 0.000
In3 0.000 0.000 0.500
Sr1 0.000 0.000 0.000
Te1 0.500 0.500 0.500
```

Values from the calculation:
Relative energy among the computed polymorphs ... 461.2 meV/atom
Space group ... Pm-3m, No. 221
Electronic total energy ... -1.976 eV per atom
Formation energy without anion corrections ... 0.6317 eV/atom
Density ... 3.969 g/cm³
Volume ... 234.2 Å³ per cell

(12)
Density functional theory data (PBE-GGA) for a relaxed structure of BaHfNi3.

The structure in CIF format:
```
data_BaHfNi3
_chemical_formula_sum 'Ba1 Hf1 Ni3'
_space_group_name_H-M_alt 'P 1'
_space_group_IT_number 1
_cell_length_a 4.807
_cell_length_b 4.807
_cell_length_c 4.807
_cell_angle_alpha 90.00
_cell_angle_beta 90.00
_cell_angle_gamma 90.00
loop_
_space_group_symop_operation_xyz
'x,y,z'
loop_
_atom_site_label
_atom_site_fract_x
_atom_site_fract_y
_atom_site_fract_z
Ni1 0.000 0.000 0.500
Ni2 0.500 0.000 0.000
Ni3 0.000 0.500 0.000
Ba1 0.000 0.000 0.000
Hf1 0.500 0.500 0.500
```

Values from the calculation:
Relative energy among the computed polymorphs ... 1239.7 meV/atom
Space group ... Pm-3m, No. 221
Electronic total energy ... -4.157 eV per atom
E_form ... 1.687 eV per atom
Density ... 7.355 g/cm³
Volume ... 111.1 Å³ per cell

> What is the volume in the eighth record?

144.9 Å³ per cell

Please write out number 3 again, unchanged.
Density functional theory data (PBE-GGA) for a relaxed structure of Sr2AgSn4Rh3.

The structure in CIF format:
```
data_Sr2AgSn4Rh3
_chemical_formula_sum 'Sr2 Ag1 Sn4 Rh3'
_space_group_name_H-M_alt 'P 1'
_space_group_IT_number 1
_cell_length_a 4.710
_cell_length_b 4.710
_cell_length_c 10.585
_cell_angle_alpha 90.00
_cell_angle_beta 90.00
_cell_angle_gamma 90.00
loop_
_space_group_symop_operation_xyz
'x,y,z'
loop_
_atom_site_label
_atom_site_fract_x
_atom_site_fract_y
_atom_site_fract_z
Rh1 0.500 0.000 0.878
Rh2 0.000 0.500 0.122
Rh3 0.000 0.000 0.500
Sn1 0.500 0.000 0.630
Sn2 0.000 0.000 0.000
Sn3 0.000 0.500 0.370
Sn4 0.500 0.500 0.000
Sr1 0.500 0.000 0.253
Sr2 0.000 0.500 0.747
Ag1 0.500 0.500 0.500
```

Values from the calculation:
Space group ... P-4m2, No. 115
Electronic total energy ... -4.967 eV per atom
E_form ... -0.539 eV per atom
Density ... 7.543 g/cm³
Volume ... 234.8 Å³ per cell

> Among the records above, which one has the lowest density?

SrIn3Te